Record 1
This record from the Alexandria database describes a relaxed RbHf2MgSb crystal. The functional is PBE.

CIF file:
```
data_RbHf2MgSb
_symmetry_space_group_name_H-M 'P 4/m m m'
_symmetry_Int_Tables_number 123
_symmetry_space_group_name_Hall '-P 4 2'
_cell_length_a 5.4234
_cell_length_b 5.4234
_cell_length_c 6.3399
_cell_angle_alpha 90.00
_cell_angle_beta 90.00
_cell_angle_gamma 90.00
loop_
_atom_site_label
_atom_site_type_symbol
_atom_site_fract_x
_atom_site_fract_y
_atom_site_fract_z
Rb1 Rb 0.0000 0.0000 0.0000
Hf1 Hf 0.0000 0.5000 0.5000
Mg1 Mg 0.5000 0.5000 0.0000
Sb1 Sb 0.0000 0.0000 0.5000
```

Computed properties:
- Crystal system: tetragonal
- Energy above the most stable polymorph in this dataset: 0.000 eV per atom

=====

Record 2
This record from the Alexandria database describes a relaxed MgGeTeH2 crystal. The functional is PBE.

CIF file:
```
data_MgGeTeH2
_symmetry_space_group_name_H-M 'P 4/m m m'
_symmetry_Int_Tables_number 123
_symmetry_space_group_name_Hall '-P 4 2'
_cell_length_a 3.8960
_cell_length_b 3.8960
_cell_length_c 5.9758
_cell_angle_alpha 90.00
_cell_angle_beta 90.00
_cell_angle_gamma 90.00
loop_
_atom_site_label
_atom_site_type_symbol
_atom_site_fract_x
_atom_site_fract_y
_atom_site_fract_z
Mg1 Mg 0.0000 0.0000 0.0000
Ge1 Ge 0.0000 0.0000 0.5000
Te1 Te 0.5000 0.5000 0.0000
H1 H 0.0000 0.5000 0.5000
```

Computed properties:
- Crystal system: tetragonal
- Final energy: -2.9833 eV/atom

=====

Record 3
This record from the Alexandria database describes a relaxed NaNd3 crystal. The functional is PBE.

CIF file:
```
data_NaNd3
_symmetry_space_group_name_H-M 'P m m 2'
_symmetry_Int_Tables_number 25
_symmetry_space_group_name_Hall 'P 2 -2'
_cell_length_a 3.4603
_cell_length_b 3.5193
_cell_length_c 11.9600
_cell_angle_alpha 90.00
_cell_angle_beta 90.00
_cell_angle_gamma 90.00
loop_
_atom_site_label
_atom_site_type_symbol
_atom_site_fract_x
_atom_site_fract_y
_atom_site_fract_z
Na1 Na 0.0000 0.0000 0.0000
Nd1 Nd 0.0000 0.5000 0.2750
Nd2 Nd 0.5000 0.0000 0.4939
Nd3 Nd 0.5000 0.5000 0.7514
```

Computed properties:
- Crystal system: orthorhombic
- Energy above the most stable polymorph in this dataset: 0.074 eV per atom
- Formation energy from the elements: 0.245 eV per atom

=====

Record 4
This record from the Alexandria database describes a relaxed BeCr2CuAu crystal. The functional is PBE.

CIF file:
```
data_BeCr2CuAu
_symmetry_space_group_name_H-M 'P 4/m m m'
_symmetry_Int_Tables_number 123
_symmetry_space_group_name_Hall '-P 4 2'
_cell_length_a 4.9945
_cell_length_b 4.9945
_cell_length_c 4.2283
_cell_angle_alpha 90.00
_cell_angle_beta 90.00
_cell_angle_gamma 90.00
loop_
_atom_site_label
_atom_site_type_symbol
_atom_site_fract_x
_atom_site_fract_y
_atom_site_fract_z
Be1 Be 0.0000 0.0000 0.0000
Cr1 Cr 0.0000 0.5000 0.5000
Cu1 Cu 0.5000 0.5000 0.0000
Au1 Au 0.0000 0.0000 0.5000
```

Computed properties:
- Crystal system: tetragonal
- Energy above the most stable polymorph in this dataset: 0.520 eV per atom
- Formation energy from the elements: 1.188 eV per atom